1) VASP calculation (GGA-PBE) on an optimized crystal structure of AuI3O.

Geometry as POSCAR:
```
AuI3O
1.0
-0.564 -3.521 3.630
-1.228 -3.448 -3.535
4.906 -1.268 -0.468
I Au O
3 1 1
Cartesian
-0.614 -1.724 -1.768
2.453 -0.634 -0.234
-0.282 -1.760 1.815
1.557 -4.118 -0.186
0.000 0.000 0.000
```

Values from the calculation:
V in Å³ per atom: 26.35
Total moment in μB per atom: 0.00
Crystal system: cubic

=====

2) VASP calculation (GGA-PBE) on an optimized crystal structure of AuI3O.

Geometry as POSCAR:
```
AuI3O
1.0
-0.327 5.328 -1.676
-5.522 -0.056 0.898
0.838 1.707 5.262
I Au O
3 1 1
Cartesian
-2.761 -0.028 0.449
0.419 0.853 2.631
-0.163 2.664 -0.838
0.000 0.000 0.000
-2.505 3.489 2.242
```

Values from the calculation:
V in Å³ per atom: 35.03
Total moment in μB per atom: 0.00
Crystal system: cubic

=====

Most stable: 1) (next structure +274 meV per atom)

=====

1) VASP calculation (GGA-PBE) on an optimized crystal structure of P2AuIO.

Geometry as POSCAR:
```
P2AuIO
1.0
-0.185 -1.487 4.715
-0.703 -4.662 -1.498
4.031 -0.598 -0.031
I P Au O
1 2 1 1
Cartesian
1.572 -3.373 1.593
-0.352 -2.331 -0.749
-0.092 -0.743 2.357
0.000 0.000 0.000
2.016 -0.299 -0.015
```

Values from the calculation:
V in Å³ per atom: 19.95
Total moment in μB per atom: 0.00
Crystal system: tetragonal

=====

2) VASP calculation (GGA-PBE) on an optimized crystal structure of P2AuIO.

Geometry as POSCAR:
```
P2AuIO
1.0
5.168 0.000 0.000
0.000 5.168 0.000
0.000 0.000 3.867
I P Au O
1 2 1 1
Cartesian
0.000 0.000 0.000
0.000 2.584 0.000
2.584 0.000 0.000
2.584 2.584 1.933
0.000 0.000 1.933
```

Values from the calculation:
V in Å³ per atom: 20.66
Total moment in μB per atom: 0.00
Crystal system: tetragonal

=====

Most stable: 1) (next structure +234 meV per atom)

=====

1) VASP calculation (GGA-PBE) on an optimized crystal structure of PbAuIO2.

Geometry as POSCAR:
```
PbAuIO2
1.0
4.399 0.000 0.000
0.000 4.399 0.000
0.000 0.000 5.336
Pb I Au O
1 1 1 2
Cartesian
2.200 2.200 2.668
0.000 0.000 2.668
0.000 0.000 0.000
0.000 2.200 0.000
2.200 0.000 0.000
```

Values from the calculation:
V in Å³ per atom: 20.65
Total moment in μB per atom: 0.00
Crystal system: tetragonal

=====

2) VASP calculation (GGA-PBE) on an optimized crystal structure of PbAuIO2.

Geometry as POSCAR:
```
PbAuIO2
1.0
4.207 0.000 0.000
0.000 4.207 0.000
0.000 0.000 6.458
Pb I Au O
1 1 1 2
Cartesian
0.000 0.000 0.000
0.000 0.000 3.229
2.104 2.104 3.229
0.000 2.104 0.000
2.104 0.000 0.000
```

Values from the calculation:
V in Å³ per atom: 22.86
Total moment in μB per atom: 0.07
Crystal system: tetragonal

=====

Most stable: 2) (next structure +253 meV per atom)